No. 1
Compound: La2Tb2HoMg5
Source: Alexandria via LeMat-Bulk
Functional: PBE-GGA
Structure: relaxed

Calculated values
Calculated volume = 28.98 Å³/atom

Cell: 10.6408 10.6408 5.1190 Å, 90.00 90.00 90.00°
With the nearest neighbours (Å) after each atom.
Fractional coordinates of all 20 atoms:
La: 0.1752 0.3248 0.0000  3 Tb 3.06-3.21
La: 0.3248 0.8248 0.0000  3 Tb 3.06-3.21
La: 0.6752 0.1752 0.0000  3 Tb 3.06-3.21
La: 0.8248 0.6752 0.0000  3 Tb 3.06-3.21
Tb: 0.1217 0.6217 0.0000  3 La 3.06-3.21, 6 Mg 3.15-3.25
Tb: 0.3783 0.1217 0.0000  3 La 3.06-3.21, 6 Mg 3.15-3.25
Tb: 0.6217 0.8783 0.0000  3 La 3.06-3.21, 6 Mg 3.15-3.25
Tb: 0.8783 0.3783 0.0000  3 La 3.06-3.21, 6 Mg 3.15-3.25
Ho: 0.0000 0.0000 0.0000  8 Mg 3.39
Ho: 0.5000 0.5000 0.0000  8 Mg 3.39
Mg: 0.0000 0.5000 0.5000  4 Tb 3.15, 4 Mg 3.31
Mg: 0.0709 0.8030 0.5000  4 Mg 3.15-3.49, 2 Tb 3.25, 2 Ho 3.39
Mg: 0.1970 0.0709 0.5000  4 Mg 3.15-3.49, 2 Tb 3.25, 2 Ho 3.39
Mg: 0.3030 0.5709 0.5000  4 Mg 3.15-3.49, 2 Tb 3.25, 2 Ho 3.39
Mg: 0.4291 0.3030 0.5000  4 Mg 3.15-3.49, 2 Tb 3.25, 2 Ho 3.39
Mg: 0.5000 0.0000 0.5000  4 Tb 3.15, 4 Mg 3.31
Mg: 0.5709 0.6970 0.5000  4 Mg 3.15-3.49, 2 Tb 3.25, 2 Ho 3.39
Mg: 0.6970 0.4291 0.5000  4 Mg 3.15-3.49, 2 Tb 3.25, 2 Ho 3.39
Mg: 0.8030 0.9291 0.5000  4 Mg 3.15-3.49, 2 Tb 3.25, 2 Ho 3.39
Mg: 0.9291 0.1970 0.5000  4 Mg 3.15-3.49, 2 Tb 3.25, 2 Ho 3.39

No. 2
Compound: La3Tb6Ho2Mg
Source: Alexandria via LeMat-Bulk
Functional: PBE-GGA
Structure: relaxed

Calculated values
Calculated volume = 32.36 Å³/atom

Cell: 6.2106 6.2106 11.8149 Å, 95.04 95.04 120.04°
With the nearest neighbours (Å) after each atom.
Fractional coordinates of all 12 atoms:
La: 0.0000 0.0000 0.0000  6 La 3.58-3.59, 6 Tb 3.64
La: 0.3338 0.6662 0.0000  6 La 3.58-3.59, 6 Tb 3.63-3.65
La: 0.6662 0.3338 0.0000  6 La 3.58-3.59, 6 Tb 3.63-3.65
Tb: 0.0879 0.4197 0.2575  1 Mg 3.49, 2 Ho 3.50, 6 Tb 3.57-3.59, 3 La 3.64-3.65
Tb: 0.2486 0.2486 0.7428  1 Mg 3.50, 2 Ho 3.50, 6 Tb 3.57-3.59, 3 La 3.63-3.64
Tb: 0.4197 0.0879 0.2575  1 Mg 3.49, 2 Ho 3.50, 6 Tb 3.57-3.59, 3 La 3.64-3.65
Tb: 0.5803 0.9121 0.7425  1 Mg 3.49, 2 Ho 3.50, 6 Tb 3.57-3.59, 3 La 3.64-3.65
Tb: 0.7514 0.7514 0.2572  1 Mg 3.50, 2 Ho 3.50, 6 Tb 3.57-3.59, 3 La 3.63-3.64
Tb: 0.9121 0.5803 0.7425  1 Mg 3.49, 2 Ho 3.50, 6 Tb 3.57-3.59, 3 La 3.64-3.65
Ho: 0.1664 0.8336 0.5000  6 Tb 3.50, 3 Ho 3.58-3.59, 3 Mg 3.58-3.59
Ho: 0.8336 0.1664 0.5000  6 Tb 3.50, 3 Ho 3.58-3.59, 3 Mg 3.58-3.59
Mg: 0.5000 0.5000 0.5000  6 Tb 3.49-3.50, 6 Ho 3.58-3.59

No. 3
Compound: LaTb2Ho4Mg
Source: Alexandria via LeMat-Bulk
Functional: PBE-GGA
Structure: relaxed

Calculated values
Calculated volume = 31.19 Å³/atom

Cell: 6.3946 6.3946 11.5812 Å, 106.88 106.88 33.56°
With the nearest neighbours (Å) after each atom.
Fractional coordinates of all 8 atoms:
La: 0.0000 0.0000 0.0000  4 Tb 3.64, 6 Ho 3.66, 2 La 3.69
Tb: 0.4740 0.4740 0.7221  2 Mg 3.26, 5 Ho 3.55-3.62, 2 La 3.64
Tb: 0.5260 0.5260 0.2779  2 Mg 3.26, 5 Ho 3.55-3.62, 2 La 3.64
Ho: 0.2339 0.2339 0.8641  6 Ho 3.46-3.69, 3 Tb 3.62-3.78, 3 La 3.66
Ho: 0.2836 0.2836 0.3940  2 Mg 3.16, 4 Ho 3.37-3.46
Ho: 0.7164 0.7164 0.6060  2 Mg 3.16, 4 Ho 3.37-3.46
Ho: 0.7661 0.7661 0.1359  6 Ho 3.46-3.69, 3 Tb 3.62-3.78, 3 La 3.66
Mg: 0.0000 0.0000 0.5000  4 Ho 3.16, 4 Tb 3.26

No. 4
Compound: LaHoMgTi
Source: Alexandria via LeMat-Bulk
Functional: PBE-GGA
Structure: relaxed

Calculated values
Calculated volume = 26.88 Å³/atom

Cell: 5.3373 5.3373 5.3373 Å, 60.00 60.00 60.00°
With the nearest neighbours (Å) after each atom.
Fractional coordinates of all 4 atoms:
La: 0.0000 0.0000 0.0000  4 Mg 3.27, 4 Ti 3.27
Ho: 0.5000 0.5000 0.5000  4 Mg 3.27, 4 Ti 3.27
Mg: 0.2500 0.2500 0.2500  4 La 3.27, 4 Ho 3.27
Ti: 0.7500 0.7500 0.7500  4 La 3.27, 4 Ho 3.27

No. 5
Compound: LaHo2MgTl4
Source: Alexandria via LeMat-Bulk
Functional: PBE-GGA
Structure: relaxed

Calculated values
Calculated volume = 27.84 Å³/atom

Cell: 9.6971 9.6971 9.6971 Å, 31.63 31.63 31.63°
With the nearest neighbours (Å) after each atom.
Fractional coordinates of all 8 atoms:
La: 0.0000 0.0000 0.0000  8 Tl 3.32-3.49
Ho: 0.2425 0.2425 0.2425  7 Tl 3.21-3.28
Ho: 0.7575 0.7575 0.7575  7 Tl 3.21-3.28
Mg: 0.5000 0.5000 0.5000  8 Tl 3.25-3.30
Tl: 0.1264 0.1264 0.1264  4 Ho 3.21, 3 Mg 3.25, 1 La 3.49
Tl: 0.3803 0.3803 0.3803  3 Ho 3.28, 1 Mg 3.30, 3 La 3.32
Tl: 0.6197 0.6197 0.6197  3 Ho 3.28, 1 Mg 3.30, 3 La 3.32
Tl: 0.8736 0.8736 0.8736  4 Ho 3.21, 3 Mg 3.25, 1 La 3.49

No. 6
Compound: La2HoTm2Mg5
Source: Alexandria via LeMat-Bulk
Functional: PBE-GGA
Structure: relaxed

Calculated values
Calculated volume = 28.64 Å³/atom

Cell: 10.6136 10.6136 5.0848 Å, 90.00 90.00 90.00°
With the nearest neighbours (Å) after each atom.
Fractional coordinates of all 20 atoms:
La: 0.1758 0.3242 0.0000  3 Tm 3.07-3.19
La: 0.3242 0.8242 0.0000  3 Tm 3.07-3.19
La: 0.6758 0.1758 0.0000  3 Tm 3.07-3.19
La: 0.8242 0.6758 0.0000  3 Tm 3.07-3.19
Ho: 0.0000 0.0000 0.0000  8 Mg 3.39
Ho: 0.5000 0.5000 0.0000  8 Mg 3.39
Tm: 0.1200 0.6200 0.0000  3 La 3.07-3.19, 6 Mg 3.12-3.23
Tm: 0.3800 0.1200 0.0000  3 La 3.07-3.19, 6 Mg 3.12-3.23
Tm: 0.6200 0.8800 0.0000  3 La 3.07-3.19, 6 Mg 3.12-3.23
Tm: 0.8800 0.3800 0.0000  3 La 3.07-3.19, 6 Mg 3.12-3.23
Mg: 0.0000 0.5000 0.5000  4 Tm 3.12, 4 Mg 3.28
Mg: 0.0704 0.8009 0.5000  4 Mg 3.17-3.46, 2 Tm 3.23, 2 Ho 3.39
Mg: 0.1991 0.0704 0.5000  4 Mg 3.17-3.46, 2 Tm 3.23, 2 Ho 3.39
Mg: 0.3009 0.5704 0.5000  4 Mg 3.17-3.46, 2 Tm 3.23, 2 Ho 3.39
Mg: 0.4296 0.3009 0.5000  4 Mg 3.17-3.46, 2 Tm 3.23, 2 Ho 3.39
Mg: 0.5000 0.0000 0.5000  4 Tm 3.12, 4 Mg 3.28
Mg: 0.5704 0.6991 0.5000  4 Mg 3.17-3.46, 2 Tm 3.23, 2 Ho 3.39
Mg: 0.6991 0.4296 0.5000  4 Mg 3.17-3.46, 2 Tm 3.23, 2 Ho 3.39
Mg: 0.8009 0.9296 0.5000  4 Mg 3.17-3.46, 2 Tm 3.23, 2 Ho 3.39
Mg: 0.9296 0.1991 0.5000  4 Mg 3.17-3.46, 2 Tm 3.23, 2 Ho 3.39

No. 7
Compound: La2Ho2TmMg5
Source: Alexandria via LeMat-Bulk
Functional: PBE-GGA
Structure: relaxed

Calculated values
Calculated volume = 28.66 Å³/atom

Cell: 10.6101 10.6101 5.0915 Å, 90.00 90.00 90.00°
With the nearest neighbours (Å) after each atom.
Fractional coordinates of all 20 atoms:
La: 0.1754 0.3246 0.0000  3 Ho 3.06-3.20
La: 0.3246 0.8246 0.0000  3 Ho 3.06-3.20
La: 0.6754 0.1754 0.0000  3 Ho 3.06-3.20
La: 0.8246 0.6754 0.0000  3 Ho 3.06-3.20
Ho: 0.1209 0.6209 0.0000  3 La 3.06-3.20, 6 Mg 3.13-3.24
Ho: 0.3791 0.1209 0.0000  3 La 3.06-3.20, 6 Mg 3.13-3.24
Ho: 0.6209 0.8791 0.0000  3 La 3.06-3.20, 6 Mg 3.13-3.24
Ho: 0.8791 0.3791 0.0000  3 La 3.06-3.20, 6 Mg 3.13-3.24
Tm: 0.0000 0.0000 0.0000  8 Mg 3.38
Tm: 0.5000 0.5000 0.0000  8 Mg 3.38
Mg: 0.0000 0.5000 0.5000  4 Ho 3.13, 4 Mg 3.29
Mg: 0.0699 0.8021 0.5000  4 Mg 3.15-3.48, 2 Ho 3.24, 2 Tm 3.38
Mg: 0.1979 0.0699 0.5000  4 Mg 3.15-3.48, 2 Ho 3.24, 2 Tm 3.38
Mg: 0.3021 0.5699 0.5000  4 Mg 3.15-3.48, 2 Ho 3.24, 2 Tm 3.38
Mg: 0.4301 0.3021 0.5000  4 Mg 3.15-3.48, 2 Ho 3.24, 2 Tm 3.38
Mg: 0.5000 0.0000 0.5000  4 Ho 3.13, 4 Mg 3.29
Mg: 0.5699 0.6979 0.5000  4 Mg 3.15-3.48, 2 Ho 3.24, 2 Tm 3.38
Mg: 0.6979 0.4301 0.5000  4 Mg 3.15-3.48, 2 Ho 3.24, 2 Tm 3.38
Mg: 0.8021 0.9301 0.5000  4 Mg 3.15-3.48, 2 Ho 3.24, 2 Tm 3.38
Mg: 0.9301 0.1979 0.5000  4 Mg 3.15-3.48, 2 Ho 3.24, 2 Tm 3.38

No. 8
Compound: La2Y2HoMg
Source: Alexandria via LeMat-Bulk
Functional: PBE-GGA
Structure: relaxed

Calculated values
Calculated volume = 38.45 Å³/atom

Cell: 10.9034 11.7083 3.6140 Å, 90.00 90.00 90.00°
With the nearest neighbours (Å) after each atom.
Fractional coordinates of all 12 atoms:
La: 0.2475 0.0627 0.0000  2 Ho 3.33, 2 Mg 3.37, 2 Y 3.59, 2 La 3.61
La: 0.2525 0.5627 0.5000  2 Ho 3.33, 2 Mg 3.37, 2 Y 3.59, 2 La 3.61
La: 0.7475 0.4373 0.5000  2 Ho 3.33, 2 Mg 3.37, 2 Y 3.59, 2 La 3.61
La: 0.7525 0.9373 0.0000  2 Ho 3.33, 2 Mg 3.37, 2 Y 3.59, 2 La 3.61
Y: 0.0734 0.7684 0.0000  1 Mg 3.24, 2 Ho 3.35, 2 La 3.59, 2 Y 3.61
Y: 0.4266 0.2684 0.5000  1 Mg 3.24, 2 Ho 3.35, 2 La 3.59, 2 Y 3.61
Y: 0.5734 0.7316 0.5000  1 Mg 3.24, 2 Ho 3.35, 2 La 3.59, 2 Y 3.61
Y: 0.9266 0.2316 0.0000  1 Mg 3.24, 2 Ho 3.35, 2 La 3.59, 2 Y 3.61
Ho: 0.0000 0.0000 0.5000  4 La 3.33, 4 Y 3.35, 2 Ho 3.61
Ho: 0.5000 0.5000 0.0000  4 La 3.33, 4 Y 3.35, 2 Ho 3.61
Mg: 0.0000 0.5000 0.0000  2 Y 3.24, 4 La 3.37, 2 Mg 3.61
Mg: 0.5000 0.0000 0.5000  2 Y 3.24, 4 La 3.37, 2 Mg 3.61

So what do the calculations give for formation enthalpy at 0 K? Going down the list: 0.01 0.04 0.01 0.14 -0.29 0.01 0.01 0.45 eV/atom.
So what do the calculations give for mass density? Going down the list: 5.05 7.37 7.59 5.81 9.77 5.23 5.20 4.64 g/cm3.